A plane-wave DFT calculation with PBE was carried out for an optimized crystal structure of YAg2W.

a b c (Å): 6.0444 6.0444 6.0444
angles (deg): 150.80 131.14 57.93
Closest atoms and distances in Å follow each position.
Fractional coordinates of all 4 atoms:
Y  0.0000  0.0000  0.0000  4 W 2.93, 2 Y 3.05, 4 Ag 3.25
Ag  0.2714  0.7714  0.5000  2 W 2.86, 6 Ag 2.96-3.05
Ag  0.7286  0.2286  0.5000  2 W 2.86, 6 Ag 2.96-3.05
W  0.5000  0.5000  0.0000  4 Ag 2.86, 4 Y 2.93, 2 W 3.05

The energy of formation is 524 meV/atom. The calculation puts the energy above the most stable polymorph in this dataset at 0.670 eV/f.u. The space group is Immm (71). The calculated volume comes out at 20.14 A^3/atom. For the magnetization, the calculation gives 0.0000 μB per atom.